# 1
A plane-wave DFT calculation with GGA-PBE was carried out for crystalline PmGeH at its relaxed geometry.

Cell lengths 4.180, 4.049, 6.304 Å; angles 90.00, 109.35, 90.00 degrees
Positions (direct):
Pm 0.148 0.250 0.295
Pm 0.852 0.750 0.705
Ge 0.435 0.250 0.871
Ge 0.565 0.750 0.129
H 0.254 0.750 0.509
H 0.746 0.250 0.491

Calculated values
Symmetry: P2_1/m (11)
Electronic total energy in eV per atom: -5.001



# 2
A plane-wave DFT calculation with GGA-PBE was carried out for crystalline NaLiBiAu at its relaxed geometry.

Cell lengths 6.997, 6.997, 6.997 Å; angles 90.00, 90.00, 90.00 degrees
Positions (direct):
Na 0.000 0.000 0.000
Na 0.000 0.500 0.500
Na 0.500 0.000 0.500
Na 0.500 0.500 0.000
Li 0.250 0.250 0.250
Li 0.250 0.750 0.750
Li 0.750 0.250 0.750
Li 0.750 0.750 0.250
Bi 0.250 0.250 0.750
Bi 0.250 0.750 0.250
Bi 0.750 0.250 0.250
Bi 0.750 0.750 0.750
Au 0.000 0.000 0.500
Au 0.000 0.500 0.000
Au 0.500 0.000 0.000
Au 0.500 0.500 0.500

Calculated values
Symmetry: F-43m (216)
Electronic total energy in eV per atom: -2.985



# 3
A plane-wave DFT calculation with GGA-PBE was carried out for crystalline Y2Co14Cu3 at its relaxed geometry.

Cell lengths 8.300, 8.300, 8.113 Å; angles 90.00, 90.00, 120.00 degrees
Positions (direct):
Y 0.000 0.000 0.250
Y 0.000 0.000 0.750
Y 0.333 0.667 0.250
Y 0.667 0.333 0.750
Co 0.047 0.374 0.750
Co 0.047 0.673 0.750
Co 0.162 0.324 0.016
Co 0.162 0.324 0.484
Co 0.162 0.838 0.016
Co 0.162 0.838 0.484
Co 0.324 0.162 0.516
Co 0.324 0.162 0.984
Co 0.327 0.374 0.750
Co 0.327 0.953 0.750
Co 0.333 0.667 0.610
Co 0.333 0.667 0.890
Co 0.374 0.047 0.250
Co 0.374 0.327 0.250
Co 0.626 0.673 0.750
Co 0.626 0.953 0.750
Co 0.667 0.333 0.110
Co 0.667 0.333 0.390
Co 0.673 0.047 0.250
Co 0.673 0.626 0.250
Co 0.676 0.838 0.016
Co 0.676 0.838 0.484
Co 0.838 0.162 0.516
Co 0.838 0.162 0.984
Co 0.838 0.676 0.516
Co 0.838 0.676 0.984
Co 0.953 0.327 0.250
Co 0.953 0.626 0.250
Cu 0.000 0.500 0.000
Cu 0.000 0.500 0.500
Cu 0.500 0.000 0.000
Cu 0.500 0.000 0.500
Cu 0.500 0.500 0.000
Cu 0.500 0.500 0.500

Calculated values
Symmetry: P6_3/mmc (194)
Energy of formation from the pure elements in eV per atom: 0.14



# 4
A plane-wave DFT calculation with GGA-PBE was carried out for crystalline TaF2 at its relaxed geometry.

Cell lengths 4.781, 4.781, 3.686 Å; angles 90.00, 90.00, 90.00 degrees
Positions (direct):
Ta 0.000 0.000 0.000
Ta 0.500 0.500 0.500
F 0.178 0.178 0.500
F 0.322 0.678 0.000
F 0.678 0.322 0.000
F 0.822 0.822 0.500

Calculated values
Symmetry: P4_2/mnm (136)
Electronic total energy in eV per atom: -6.540



# 5
A plane-wave DFT calculation with GGA-PBE was carried out for crystalline LiPaBi at its relaxed geometry.

Cell lengths 6.641, 6.641, 6.641 Å; angles 90.00, 90.00, 90.00 degrees
Positions (direct):
Li 0.000 0.000 0.000
Li 0.000 0.500 0.500
Li 0.500 0.000 0.500
Li 0.500 0.500 0.000
Pa 0.250 0.250 0.250
Pa 0.250 0.750 0.750
Pa 0.750 0.250 0.750
Pa 0.750 0.750 0.250
Bi 0.250 0.250 0.750
Bi 0.250 0.750 0.250
Bi 0.750 0.250 0.250
Bi 0.750 0.750 0.750

Calculated values
Symmetry: F-43m (216)
Electronic total energy in eV per atom: -4.946



# 6
A plane-wave DFT calculation with GGA-PBE was carried out for crystalline KLuCoSe3 at its relaxed geometry.

Cell lengths 10.660, 4.017, 14.458 Å; angles 90.00, 90.00, 90.00 degrees
Positions (direct):
K 0.233 0.250 0.006
K 0.267 0.750 0.506
K 0.733 0.250 0.494
K 0.767 0.750 0.994
Lu 0.010 0.750 0.255
Lu 0.490 0.250 0.755
Lu 0.510 0.750 0.245
Lu 0.990 0.250 0.745
Co 0.241 0.750 0.786
Co 0.259 0.250 0.286
Co 0.741 0.750 0.714
Co 0.759 0.250 0.214
Se 0.053 0.750 0.873
Se 0.075 0.250 0.381
Se 0.243 0.250 0.688
Se 0.257 0.750 0.188
Se 0.425 0.750 0.881
Se 0.447 0.250 0.373
Se 0.553 0.750 0.627
Se 0.575 0.250 0.119
Se 0.743 0.250 0.812
Se 0.757 0.750 0.312
Se 0.925 0.750 0.619
Se 0.947 0.250 0.127

Calculated values
Symmetry: Pnma (62)
Electronic total energy in eV per atom: -5.009



Ρ for every record listed, in sequence, given in kg/m³: 7213 8451 8190 8629 10138 5470.